The following is a PBE-GGA calculation of a relaxed structure of La6SnRu3, from Alexandria via LeMat-Bulk.

Results
E_tot in eV/cell: -129.45
Calculated volume in Å³ per atom: 29.88
D(E_F) in states/eV per atom: 0.76

a b c (Å): 11.963 4.224 12.436
angles (deg): 90.00 108.03 90.00
Space group P2_1/m (No. 11)
Inequivalent atoms, fractional coordinates:
La 0.028 0.250 0.389 (multiplicity 2)
La 0.111 0.250 0.948 (multiplicity 2)
La 0.204 0.750 0.259 (multiplicity 2)
La 0.285 0.750 0.762 (multiplicity 2)
La 0.356 0.250 0.533 (multiplicity 2)
La 0.425 0.750 0.086 (multiplicity 2)
Sn 0.444 0.250 0.301 (multiplicity 2)
Ru 0.034 0.250 0.170 (multiplicity 2)
Ru 0.185 0.750 0.502 (multiplicity 2)
Ru 0.339 0.250 0.905 (multiplicity 2)

***

The following is a PBE-GGA calculation of a relaxed structure of Y2GaRu2, from Alexandria via LeMat-Bulk.

Results
E_tot in eV/cell: -73.36
Calculated volume in Å³ per atom: 20.10
D(E_F) in states/eV per atom: 0.67

a b c (Å): 6.818 6.818 4.324
angles (deg): 90.00 90.00 90.00
Space group P4/mbm (No. 127)
Inequivalent atoms, fractional coordinates:
Y 0.176 0.324 0.000 (multiplicity 4)
Ga 0.000 0.000 0.500 (multiplicity 2)
Ru 0.135 0.635 0.500 (multiplicity 4)

***

The following is a PBE-GGA calculation of a relaxed structure of Ta4CrRe3, from Alexandria via LeMat-Bulk.

Results
E_tot in eV/cell: -97.07
Calculated volume in Å³ per atom: 16.09
D(E_F) in states/eV per atom: 0.40

a b c (Å): 3.181 3.181 12.724
angles (deg): 90.00 90.00 90.00
Space group P4/mmm (No. 123)
Inequivalent atoms, fractional coordinates:
Ta 0.000 0.000 0.120 (multiplicity 2)
Ta 0.000 0.000 0.373 (multiplicity 2)
Cr 0.500 0.500 0.000 (multiplicity 1)
Re 0.500 0.500 0.247 (multiplicity 2)
Re 0.500 0.500 0.500 (multiplicity 1)

***

The following is a PBE-GGA calculation of a relaxed structure of CSeSCl2, from Alexandria via LeMat-Bulk.

Results
E_tot in eV/cell: -14.07
Calculated volume in Å³ per atom: 16.49
D(E_F) in states/eV per atom: 0.49

a b c (Å): 4.284 4.284 4.493
angles (deg): 90.00 90.00 90.00
Space group P4/mmm (No. 123)
Inequivalent atoms, fractional coordinates:
C 0.000 0.000 0.000 (multiplicity 1)
Se 0.500 0.500 0.500 (multiplicity 1)
S 0.000 0.000 0.500 (multiplicity 1)
Cl 0.000 0.500 0.000 (multiplicity 2)

***

The following is a PBE-GGA calculation of a relaxed structure of NbRu, from Alexandria via LeMat-Bulk.

Results
E_tot in eV/cell: -19.73
Calculated volume in Å³ per atom: 16.09
D(E_F) in states/eV per atom: 1.46

a b c (Å): 3.052 3.052 3.455
angles (deg): 90.00 90.00 90.00
Space group P4/mmm (No. 123)
Inequivalent atoms, fractional coordinates:
Nb 0.000 0.000 0.000 (multiplicity 1)
Ru 0.500 0.500 0.500 (multiplicity 1)

***

The following is a PBE-GGA calculation of a relaxed structure of CaZr2Tl, from Alexandria via LeMat-Bulk.

Results
E_tot in eV/cell: -20.89
Calculated volume in Å³ per atom: 25.16
D(E_F) in states/eV per atom: 1.31

a b c (Å): 3.649 4.973 5.545
angles (deg): 90.00 90.00 90.00
Space group Pmmm (No. 47)
Inequivalent atoms, fractional coordinates:
Ca 0.000 0.000 0.000 (multiplicity 1)
Zr 0.000 0.500 0.500 (multiplicity 1)
Zr 0.500 0.000 0.500 (multiplicity 1)
Tl 0.500 0.500 0.000 (multiplicity 1)

***

The following is a PBE-GGA calculation of a relaxed structure of NpTlBr4, from Alexandria via LeMat-Bulk.

Results
E_tot in eV/cell: -115.91
Calculated volume in Å³ per atom: 40.45
D(E_F) in states/eV per atom: 0.98

a b c (Å): 18.931 4.439 13.269
angles (deg): 90.00 119.49 90.00
Space group C2/c (No. 15)
Inequivalent atoms, fractional coordinates:
Np 0.250 0.250 0.000 (multiplicity 4)
Tl 0.000 0.237 0.250 (multiplicity 4)
Br 0.089 0.266 0.962 (multiplicity 8)
Br 0.204 0.249 0.334 (multiplicity 8)

***

The following is a PBE-GGA calculation of a relaxed structure of V3NiRh, from Alexandria via LeMat-Bulk.

Results
E_tot in eV/cell: -34.25
Calculated volume in Å³ per atom: 18.24
D(E_F) in states/eV per atom: 1.71

a b c (Å): 4.502 4.502 4.502
angles (deg): 90.00 90.00 90.00
Space group Pm-3m (No. 221)
Inequivalent atoms, fractional coordinates:
V 0.000 0.000 0.500 (multiplicity 3)
Ni 0.500 0.500 0.500 (multiplicity 1)
Rh 0.000 0.000 0.000 (multiplicity 1)